(1)
## ReBiAs2 (PBE-GGA)

Data for ReBiAs2 after structural relaxation.

Results
Formation enthalpy at 0 K (meV/atom): -29.8
Space group: P-1, No. 2
Magnetic moment (μB per formula unit): 0.0

Structure (POSCAR):
```
ReBiAs2
1.0
3.1669 -0.0713 -0.2620
-0.0107 5.9432 -1.7545
-0.7970 -0.4197 9.8828
As Re Bi
4 2 2
direct
0.1742 0.0571 0.3461
0.3447 0.6000 0.6852
0.7107 0.5860 0.4182
0.8813 0.1289 0.7572
0.2819 0.9116 0.5599
0.7735 0.2744 0.5435
0.4978 0.7987 0.9924
0.5574 0.3874 0.1109
```



(2)
## POs2Pt (PBE-GGA)

Data for POs2Pt after structural relaxation.

Results
Formation enthalpy at 0 K (meV/atom): 237.8
Space group: Cm, No. 8
Magnetic moment (μB per formula unit): 0.0

Structure (POSCAR):
```
POs2Pt
1.0
-4.4948 1.1268 1.1387
-4.0619 -1.4980 2.0068
-0.0588 1.5182 4.6200
P Os Pt
1 2 1
direct
0.4956 0.4956 0.4326
0.2318 0.2318 0.2672
0.9974 0.9974 0.0441
0.7752 0.7752 0.7560
```



(3)
## Pa3Ni4P2 (PBE-GGA)

Data for Pa3Ni4P2 after structural relaxation.

Results
Formation enthalpy at 0 K (meV/atom): -815.8
Space group: C2/m, No. 12
Magnetic moment (μB per formula unit): 0.0

Structure (POSCAR):
```
Pa3Ni4P2
1.0
-1.9470 3.3449 -0.6504
-2.4676 -2.9839 3.8822
5.6429 4.0132 3.7469
Ni P Pa
4 2 3
direct
0.9425 0.8851 0.6148
0.2810 0.5620 0.9291
0.0575 0.1149 0.3852
0.7190 0.4380 0.0709
0.6117 0.2235 0.2838
0.3883 0.7765 0.7162
0.6639 0.3278 0.6712
0.3361 0.6722 0.3288
0.0000 0.0000 0.0000
```



(4)
## CaCd3Au3 (PBE-GGA)

Data for CaCd3Au3 after structural relaxation.

Results
Formation enthalpy at 0 K (meV/atom): -388.5
Offset from the most stable computed form (meV/atom): 0
Space group: P2_1/m, No. 11
Magnetic moment (μB per formula unit): 0.0

Structure (POSCAR):
```
CaCd3Au3
1.0
-2.2137 2.4625 3.4325
-2.0893 -7.3216 3.9051
7.3795 3.9300 1.9399
Cd Au Ca
6 6 2
direct
0.2500 0.7655 0.7701
0.2500 0.2282 0.9938
0.7500 0.7718 0.0062
0.7500 0.2345 0.2299
0.7500 0.9952 0.7657
0.2500 0.0048 0.2343
0.2500 0.0613 0.6115
0.2500 0.3881 0.4509
0.7500 0.9387 0.3885
0.2500 0.5513 0.9393
0.7500 0.6119 0.5491
0.7500 0.4487 0.0607
0.2500 0.6657 0.3327
0.7500 0.3343 0.6673
```



(5)
## Sm2PdAu (PBE-GGA)

Data for Sm2PdAu after structural relaxation.

Results
Formation enthalpy at 0 K (meV/atom): -789.1
Space group: P4/mmm, No. 123
Magnetic moment (μB per formula unit): 0.0

Structure (POSCAR):
```
Sm2PdAu
1.0
-0.8768 1.5707 3.1410
-3.1162 -1.8408 0.0506
3.2640 -5.4260 3.6244
Au Pd Sm
1 1 2
direct
0.5000 0.5000 0.5000
0.5000 0.5000 0.0000
0.0000 0.0000 0.7557
0.0000 0.0000 0.2443
```



(6)
## CePd2Pt4 (PBE-GGA)

Data for CePd2Pt4 after structural relaxation.

Results
Formation enthalpy at 0 K (meV/atom): -540.8
Offset from the most stable computed form (meV/atom): 0
Space group: C2/m, No. 12
Magnetic moment (μB per formula unit): 0.0

Structure (POSCAR):
```
CePd2Pt4
1.0
4.7639 -0.0043 2.5410
2.2130 4.7670 1.5724
0.1276 -0.3453 5.4735
Ce Pt Pd
1 4 2
direct
0.0000 0.0000 0.0000
0.7025 0.0000 0.5947
0.2975 0.4052 0.0000
0.2975 0.0000 0.4053
0.7025 0.5948 0.0000
0.2497 0.5003 0.5003
0.7503 0.4997 0.4997
```



(7)
## Sr3LiRh (PBE-GGA)

Data for Sr3LiRh after structural relaxation.

Results
Formation enthalpy at 0 K (meV/atom): 133.6
Offset from the most stable computed form (meV/atom): 281
Space group: Cmcm, No. 63
Magnetic moment (μB per formula unit): 0.0

Structure (POSCAR):
```
Sr3LiRh
1.0
2.0267 7.8833 -2.4958
-6.0130 -5.1723 -3.0942
-4.3989 2.5093 4.3539
Li Rh Sr
2 2 6
direct
0.5710 0.4290 0.2500
0.4290 0.5710 0.7500
0.1619 0.8381 0.2500
0.8381 0.1619 0.7500
0.0000 0.0000 0.0000
0.0556 0.4446 0.2500
0.4446 0.0556 0.7500
0.5554 0.9444 0.2500
0.9444 0.5554 0.7500
0.0000 0.0000 0.5000
```



(8)
## PmSc2P (PBE-GGA)

Data for PmSc2P after structural relaxation.

Results
Formation enthalpy at 0 K (meV/atom): -662.6
Space group: R-3m, No. 166
Magnetic moment (μB per formula unit): 0.0

Structure (POSCAR):
```
PmSc2P
1.0
3.6250 0.0000 0.0000
1.8125 3.1394 0.0000
1.8125 1.0465 8.8276
Pm Sc P
1 2 1
direct
0.5000 0.5000 0.5000
0.7232 0.7232 0.8304
0.2768 0.2768 0.1696
0.0000 0.0000 0.0000
```



(9)
## UReB3 (PBE-GGA)

Data for UReB3 after structural relaxation.

Results
Formation enthalpy at 0 K (meV/atom): -335.2
Offset from the most stable computed form (meV/atom): 218
Space group: Cmcm, No. 63
Magnetic moment (μB per formula unit): 0.7

Structure (POSCAR):
```
UReB3
1.0
0.0838 -0.4716 -3.8297
0.9536 -2.8713 0.3744
-8.7442 -2.6331 2.0777
U B Re
2 6 2
direct
0.0685 0.2500 0.1369
0.9315 0.7500 0.8631
0.6266 0.7500 0.2532
0.3230 0.7500 0.6461
0.5257 0.7500 0.0513
0.3734 0.2500 0.7468
0.4743 0.2500 0.9487
0.6770 0.2500 0.3539
0.2021 0.7500 0.4041
0.7979 0.2500 0.5959
```



(10)
## AlCdCuPt (PBE-GGA)

Data for AlCdCuPt after structural relaxation.

Results
Formation enthalpy at 0 K (meV/atom): -332.6
Space group: F-43m, No. 216
Magnetic moment (μB per formula unit): 0.0

Structure (POSCAR):
```
AlCdCuPt
1.0
-1.5577 -1.6526 3.8452
-3.3816 -2.9167 -0.0302
0.7318 -4.2782 1.0510
Cu Pt Cd Al
1 1 1 1
direct
0.7500 0.7500 0.7500
0.2500 0.2500 0.2500
0.5000 0.5000 0.5000
0.0000 0.0000 0.0000
```



(11)
## In4CuRh (PBE-GGA)

Data for In4CuRh after structural relaxation.

Results
Formation enthalpy at 0 K (meV/atom): 587.9
Space group: F-43m, No. 216
Magnetic moment (μB per formula unit): 0.0

Structure (POSCAR):
```
In4CuRh
1.0
0.0000 4.0682 4.0682
4.0682 0.0000 4.0682
4.0682 4.0682 0.0000
In Rh Cu
4 1 1
direct
0.3753 0.3753 0.8742
0.3753 0.3753 0.3753
0.8742 0.3753 0.3753
0.3753 0.8742 0.3753
0.7500 0.7500 0.7500
0.0000 0.0000 0.0000
```



(12)
## CaPr2Ag (PBE-GGA)

Data for CaPr2Ag after structural relaxation.

Results
Formation enthalpy at 0 K (meV/atom): -89.1
Offset from the most stable computed form (meV/atom): 0
Space group: P2_1/m, No. 11
Magnetic moment (μB per formula unit): 0.0

Structure (POSCAR):
```
CaPr2Ag
1.0
4.1054 0.0011 0.0000
-2.0548 6.3910 0.0000
0.0000 0.0000 9.9184
Ag Pr Ca
2 4 2
direct
0.2447 0.4872 0.2500
0.7553 0.5128 0.7500
0.6384 0.2752 0.0494
0.3616 0.7248 0.9506
0.3616 0.7248 0.5494
0.6384 0.2752 0.4506
0.0574 0.1153 0.7500
0.9426 0.8847 0.2500
```



no.,density of states at the Fermi level (states/eV/f.u.)
1,1.168
2,2.839
3,9.817
4,1.822
5,3.290
6,8.041
7,2.675
8,3.732
9,3.295
10,1.721
11,4.311
12,4.970